Entry 1:
! PBE Mg2TiAg, optimized geometry; values from VASP
! energy relative to the elements	-0.0095	eV per atom
! density	4.47	g cm⁻³
! energy	-0.2568	Ry per atom
! D(E_F)	2.1	states/eV per cell
&SYSTEM
  ibrav = 0, nat = 4, ntyp = 3
/
ATOMIC_SPECIES
Mg 24.30 Mg.upf
Ti 47.87 Ti.upf
Ag 107.87 Ag.upf
ATOMIC_POSITIONS crystal
Mg 0.000 0.000 0.761
Mg 0.000 0.000 0.239
Ti 0.500 0.500 0.500
Ag 0.500 0.500 0.000
CELL_PARAMETERS angstrom
-1.608 -2.525 0.126
2.142 -1.281 1.657
-3.792 2.766 7.042

=====

Entry 2:
! PBE KIr2Au, optimized geometry; values from VASP
! energy relative to the elements	0.7234	eV per atom
! density	10.32	g cm⁻³
! energy	-0.3529	Ry per atom
! D(E_F)	14.4	states/eV per cell
&SYSTEM
  ibrav = 0, nat = 8, ntyp = 3
/
ATOMIC_SPECIES
Ir 192.22 Ir.upf
Au 196.97 Au.upf
K 39.10 K.upf
ATOMIC_POSITIONS crystal
Ir 0.965 0.125 0.250
Ir 0.375 0.035 0.750
Ir 0.875 0.215 0.750
Au 0.750 0.250 0.500
Au 0.000 0.000 0.000
K 0.500 0.500 0.000
K 0.250 0.750 0.500
Ir 0.785 0.625 0.250
CELL_PARAMETERS angstrom
4.544 0.000 0.000
0.000 4.544 0.000
2.272 2.272 9.669

=====

Entry 3:
! PBE ReRh7, optimized geometry; values from VASP
! energy relative to the elements	-0.0349	eV per atom
! density	13.21	g cm⁻³
! energy	-0.5897	Ry per atom
! D(E_F)	10.7	states/eV per cell
&SYSTEM
  ibrav = 0, nat = 8, ntyp = 2
/
ATOMIC_SPECIES
Rh 102.91 Rh.upf
Re 186.21 Re.upf
ATOMIC_POSITIONS crystal
Rh 0.000 0.500 0.500
Rh 0.500 0.874 0.374
Re 0.000 0.000 0.000
Rh 0.500 0.126 0.626
Rh 0.500 0.622 0.122
Rh 0.000 0.251 0.250
Rh 0.000 0.749 0.750
Rh 0.500 0.378 0.878
CELL_PARAMETERS angstrom
-1.353 2.939 2.100
-2.438 -0.287 -1.168
-0.504 -6.658 8.992

=====

Entry 4:
! PBE Zn2FeMo, optimized geometry; values from VASP
! energy relative to the elements	0.1448	eV per atom
! density	8.42	g cm⁻³
! energy	-0.3907	Ry per atom
! D(E_F)	2.1	states/eV per cell
&SYSTEM
  ibrav = 0, nat = 4, ntyp = 3
/
ATOMIC_SPECIES
Zn 65.41 Zn.upf
Fe 55.84 Fe.upf
Mo 95.94 Mo.upf
ATOMIC_POSITIONS crystal
Zn 0.000 0.000 0.488
Fe 0.500 0.500 0.250
Mo 0.500 0.500 0.750
Zn 0.000 0.000 0.012
CELL_PARAMETERS angstrom
2.601 0.000 0.000
0.000 3.973 0.000
0.000 0.000 5.394

=====

Entry 5:
! PBE TlZn2Cr, optimized geometry; values from VASP
! energy relative to the elements	0.5127	eV per atom
! density	8.02	g cm⁻³
! energy	-0.2294	Ry per atom
! D(E_F)	3.9	states/eV per cell
&SYSTEM
  ibrav = 0, nat = 8, ntyp = 3
/
ATOMIC_SPECIES
Cr 52.00 Cr.upf
Zn 65.41 Zn.upf
Tl 204.38 Tl.upf
ATOMIC_POSITIONS crystal
Cr 0.500 0.500 0.000
Zn 0.150 0.625 0.250
Cr 0.250 0.750 0.500
Tl 0.000 0.000 0.000
Zn 0.875 0.850 0.750
Zn 0.375 0.400 0.750
Tl 0.750 0.250 0.500
Zn 0.600 0.125 0.250
CELL_PARAMETERS angstrom
7.618 0.000 0.000
0.000 7.618 0.000
3.809 3.809 2.764

=====

Entry 6:
! PBE La2Ti2Bi, optimized geometry; values from VASP
! energy relative to the elements	-0.0693	eV per atom
! density	7.20	g cm⁻³
! energy	-0.4391	Ry per atom
! D(E_F)	11.9	states/eV per cell
&SYSTEM
  ibrav = 0, nat = 10, ntyp = 3
/
ATOMIC_SPECIES
La 138.91 La.upf
Ti 47.87 Ti.upf
Bi 208.98 Bi.upf
ATOMIC_POSITIONS crystal
La 0.327 0.173 0.500
Ti 0.625 0.125 0.000
Ti 0.375 0.875 0.000
Bi 0.500 0.500 0.000
La 0.673 0.827 0.500
Ti 0.125 0.375 0.000
Bi 0.000 0.000 0.000
La 0.827 0.327 0.500
La 0.173 0.673 0.500
Ti 0.875 0.625 0.000
CELL_PARAMETERS angstrom
7.558 0.000 0.000
0.000 7.558 0.000
0.000 0.000 4.703

=====

Entry 7:
! PBE AcNpP2, optimized geometry; values from VASP
! energy relative to the elements	-0.7026	eV per atom
! density	9.40	g cm⁻³
! energy	-0.5637	Ry per atom
! D(E_F)	11.1	states/eV per cell
&SYSTEM
  ibrav = 0, nat = 4, ntyp = 3
/
ATOMIC_SPECIES
P 30.97 P.upf
Ac 227.00 Ac.upf
Np 237.00 Np.upf
ATOMIC_POSITIONS crystal
P 0.750 0.750 0.750
P 0.250 0.250 0.250
Ac 0.500 0.500 0.500
Np 0.000 0.000 0.000
CELL_PARAMETERS angstrom
-0.096 -1.940 4.698
3.941 -2.719 1.707
3.037 1.910 3.601

=====

Entry 8:
! PBE CrMo3, optimized geometry; values from VASP
! energy relative to the elements	2.1016	eV per atom
! density	6.23	g cm⁻³
! energy	-0.6194	Ry per atom
! D(E_F)	4.2	states/eV per cell
&SYSTEM
  ibrav = 0, nat = 4, ntyp = 2
/
ATOMIC_SPECIES
Mo 95.94 Mo.upf
Cr 52.00 Cr.upf
ATOMIC_POSITIONS crystal
Mo 0.000 0.000 0.500
Cr 0.000 0.000 0.000
Mo 0.500 0.000 0.000
Mo 0.000 0.500 0.000
CELL_PARAMETERS angstrom
-3.001 -3.295 0.555
1.791 -2.216 -3.471
2.821 -2.098 2.795